<1>
# LiScSnPd PBE relaxed
# * ρ: 6.64 g/cm³
data_LiScSnPd
_cell_length_a 4.611
_cell_length_b 4.611
_cell_length_c 6.517
_cell_angle_alpha 90.00
_cell_angle_beta 90.00
_cell_angle_gamma 90.00
_space_group_name_H-M_alt 'P -4 m 2'
_space_group_IT_number 115
loop_
_space_group_symop_operation_xyz
'x,y,z'
'y,-x,-z'
'-x,-y,z'
'-y,x,-z'
'-x,y,z'
'-y,-x,-z'
'x,-y,z'
'y,x,-z'
loop_
_atom_site_label
_atom_site_type_symbol
_atom_site_fract_x
_atom_site_fract_y
_atom_site_fract_z
Li1 Li 0.000 0.500 0.248
Sc1 Sc 0.000 0.000 0.000
Sc2 Sc 0.500 0.500 0.500
Sn1 Sn 0.000 0.000 0.500
Sn2 Sn 0.500 0.500 0.000
Pd1 Pd 0.000 0.500 0.749

=====

<2>
# LiScSnPd PBE relaxed
# * ρ: 6.25 g/cm³
data_LiScSnPd
_cell_length_a 6.652
_cell_length_b 6.652
_cell_length_c 6.652
_cell_angle_alpha 90.00
_cell_angle_beta 90.00
_cell_angle_gamma 90.00
_space_group_name_H-M_alt 'F -4 3 m'
_space_group_IT_number 216
_space_group_name_Hall 'F -4 2 3'
loop_
_atom_site_label
_atom_site_type_symbol
_atom_site_fract_x
_atom_site_fract_y
_atom_site_fract_z
Li1 Li 0.000 0.000 0.000
Sc1 Sc 0.000 0.000 0.500
Sn1 Sn 0.250 0.250 0.250
Pd1 Pd 0.250 0.250 0.750

=====

Tell me which of them is the most stable. Sure, it is <1>.

=====

<1>
# Li2Pd2Se3 PBE relaxed
# * ρ: 6.44 g/cm³
data_Li2Pd2Se3
_cell_length_a 7.819
_cell_length_b 7.819
_cell_length_c 7.819
_cell_angle_alpha 90.00
_cell_angle_beta 90.00
_cell_angle_gamma 90.00
_space_group_name_H-M_alt 'I 21 3'
_space_group_IT_number 199
_space_group_name_Hall 'I 2b 2c 3'
loop_
_atom_site_label
_atom_site_type_symbol
_atom_site_fract_x
_atom_site_fract_y
_atom_site_fract_z
Li1 Li 0.074 0.074 0.074
Pd1 Pd 0.160 0.340 0.660
Se1 Se 0.000 0.250 0.372

=====

<2>
# Li2Pd2Se3 PBE relaxed
# * ρ: 5.67 g/cm³
data_Li2Pd2Se3
_cell_length_a 5.8731
_cell_length_b 5.8731
_cell_length_c 13.6283
_cell_angle_alpha 90.00
_cell_angle_beta 90.00
_cell_angle_gamma 120.00
_space_group_name_H-M_alt 'R -3 m'
_space_group_IT_number 166
_space_group_name_Hall '-R 3 2"'
loop_
_atom_site_label
_atom_site_type_symbol
_atom_site_fract_x
_atom_site_fract_y
_atom_site_fract_z
Li1 Li 0.0000 0.0000 0.0000
Li2 Li 0.0000 0.0000 0.5000
Pd1 Pd 0.0000 0.0000 0.1921
Se1 Se 0.0000 0.5000 0.0000

=====

Tell me which of them is the most stable. Sure, it is <1>.

=====

<1>
# LiZrPdSe3 PBE relaxed
# * ρ: 5.75 g/cm³
data_LiZrPdSe3
_cell_length_a 3.698
_cell_length_b 13.698
_cell_length_c 10.062
_cell_angle_alpha 90.00
_cell_angle_beta 90.00
_cell_angle_gamma 90.00
_space_group_name_H-M_alt 'C m c m'
_space_group_IT_number 63
_space_group_name_Hall '-C 2c 2'
loop_
_atom_site_label
_atom_site_type_symbol
_atom_site_fract_x
_atom_site_fract_y
_atom_site_fract_z
Li1 Li 0.000 0.192 0.250
Zr1 Zr 0.000 0.000 0.000
Pd1 Pd 0.000 0.479 0.750
Se1 Se 0.000 0.102 0.750
Se2 Se 0.000 0.359 0.558

=====

<2>
# LiZrPdSe3 PBE relaxed
# * ρ: 5.84 g/cm³
data_LiZrPdSe3
_cell_length_a 7.529
_cell_length_b 3.744
_cell_length_c 9.227
_cell_angle_alpha 90.00
_cell_angle_beta 105.23
_cell_angle_gamma 90.00
_space_group_name_H-M_alt 'P 1 21/m 1'
_space_group_IT_number 11
loop_
_space_group_symop_operation_xyz
'x,y,z'
'-x,-y,-z'
'-x,y+1/2,-z'
'x,-y+1/2,z'
loop_
_atom_site_label
_atom_site_type_symbol
_atom_site_fract_x
_atom_site_fract_y
_atom_site_fract_z
Li1 Li 0.230 0.250 0.272
Zr1 Zr 0.321 0.750 0.815
Pd1 Pd 0.135 0.250 0.567
Se1 Se 0.067 0.250 0.825
Se2 Se 0.333 0.750 0.525
Se3 Se 0.400 0.750 0.129

=====

Tell me which of them is the most stable. Sure, it is <2>.

=====

<1>
# SrLiTaPd PBE relaxed
# * ρ: 8.31 g/cm³
data_SrLiTaPd
_cell_length_a 6.733
_cell_length_b 6.733
_cell_length_c 6.733
_cell_angle_alpha 90.00
_cell_angle_beta 90.00
_cell_angle_gamma 90.00
_space_group_name_H-M_alt 'F -4 3 m'
_space_group_IT_number 216
_space_group_name_Hall 'F -4 2 3'
loop_
_atom_site_label
_atom_site_type_symbol
_atom_site_fract_x
_atom_site_fract_y
_atom_site_fract_z
Sr1 Sr 0.000 0.000 0.000
Li1 Li 0.250 0.250 0.250
Ta1 Ta 0.250 0.250 0.750
Pd1 Pd 0.000 0.000 0.500

=====

<2>
# SrLiTaPd PBE relaxed
# * ρ: 7.60 g/cm³
data_SrLiTaPd
_cell_length_a 6.936
_cell_length_b 6.936
_cell_length_c 6.936
_cell_angle_alpha 90.00
_cell_angle_beta 90.00
_cell_angle_gamma 90.00
_space_group_name_H-M_alt 'F -4 3 m'
_space_group_IT_number 216
_space_group_name_Hall 'F -4 2 3'
loop_
_atom_site_label
_atom_site_type_symbol
_atom_site_fract_x
_atom_site_fract_y
_atom_site_fract_z
Sr1 Sr 0.000 0.000 0.000
Li1 Li 0.250 0.250 0.250
Ta1 Ta 0.000 0.000 0.500
Pd1 Pd 0.250 0.250 0.750

=====

Tell me which of them is the most stable. Sure, it is <1>.